# KLa2Tl

Crystalline KLa2Tl at its relaxed geometry (PBE-GGA, Alexandria).

Values from the calculation:
Energy: -3.287 eV/atom
Distance to the lowest polymorph of the same formula: 60 meV/atom
Total magnetization: 0.00 μB/cell
DFT formation energy: 0.172 eV per formula unit
DOS(E_F): 4.59 states/eV/cell

Cell lengths 12.7691, 12.7691, 12.7691 Å; angles 17.56, 17.56, 17.56 degrees
With the nearest neighbours (Å) after each atom.
Fractional positions:
K 0.0000 0.0000 0.0000  6 K 3.90
La 0.2319 0.2319 0.2319  3 Tl 3.34
La 0.7681 0.7681 0.7681  3 Tl 3.34
Tl 0.5000 0.5000 0.5000  6 La 3.34